Here is crystalline Tb3CuAg2 at its relaxed geometry from Alexandria. Energies are from PBE.

Formation energy, meV/atom: -278
Distance to the lowest polymorph of the same formula, meV/atom: 10
E_tot, eV per atom: -4.226
Size of the total moment, μB/atom: 0.000

Cell lengths 5.0971, 5.0971, 12.5008 Å; angles 90.00, 90.00, 120.00 degrees
Space group P-3m1 (No. 164)
Unique sites:
1 Tb 0.0000 0.0000 0.2444 (multiplicity 2)
2 Tb 0.3333 0.6667 0.4109 (multiplicity 2)
3 Tb 0.3333 0.6667 0.9170 (multiplicity 2)
4 Cu 0.3333 0.6667 0.1645 (multiplicity 2)
5 Ag 0.0000 0.0000 0.0000 (multiplicity 1)
6 Ag 0.0000 0.0000 0.5000 (multiplicity 1)
7 Ag 0.3333 0.6667 0.6662 (multiplicity 2)